[1]
An optimized crystal structure of K6Rb7Na, computed with PBE.

It has space group Ibam (No. 72), with a = 9.608 Å, b = 27.151 Å, c = 17.397 Å, α = 90.00°, β = 90.00° and γ = 90.00°. The asymmetric unit holds K at (0.114, 0.081, 0.000), K at (0.229, 0.373, 0.259), Rb at (0.000, 0.000, 0.250), Rb at (0.034, 0.242, 0.380), Rb at (0.115, 0.418, 0.000) and Na at (0.000, 0.500, 0.250).

The value obtained for the total moment is 0.00 μB per cell. The value obtained for the density of states at the Fermi level is 44.52 states/eV/cell. Its crystal system is orthorhombic. The value obtained for the energy of formation is 0.048 eV/atom. As for the final energy: -1.000 eV/atom.

[2]
An optimized crystal structure of K5RbNa2, computed with PBE.

It has space group Immm (No. 71), with a = 4.497 Å, b = 13.752 Å, c = 16.863 Å, α = 90.00°, β = 90.00° and γ = 90.00°. The asymmetric unit holds K at (0.000, 0.000, 0.000), K at (0.000, 0.271, 0.363), Rb at (0.000, 0.500, 0.000) and Na at (0.000, 0.000, 0.255).

The value obtained for the total moment is 0.00 μB per cell. The value obtained for the density of states at the Fermi level is 10.86 states/eV/cell. Its crystal system is orthorhombic. The value obtained for the energy of formation is 0.028 eV/atom. As for the final energy: -1.108 eV/atom.

Copy entry 2 word for word.
An optimized crystal structure of K5RbNa2, computed with PBE.

It has space group Immm (No. 71), with a = 4.497 Å, b = 13.752 Å, c = 16.863 Å, α = 90.00°, β = 90.00° and γ = 90.00°. The asymmetric unit holds K at (0.000, 0.000, 0.000), K at (0.000, 0.271, 0.363), Rb at (0.000, 0.500, 0.000) and Na at (0.000, 0.000, 0.255).

The value obtained for the total moment is 0.00 μB per cell. The value obtained for the density of states at the Fermi level is 10.86 states/eV/cell. Its crystal system is orthorhombic. The value obtained for the energy of formation is 0.028 eV/atom. As for the final energy: -1.108 eV/atom.

- Which value of final energy does entry 2 give?
  -1.108 eV/atom